Entry 1:
First-principles (PBE) data for a geometry-optimized Tm3BiSb structure, as listed in Alexandria via LeMat-Bulk.

Cell lengths 4.2392, 8.7137, 8.5709 Å; angles 92.35, 90.00, 90.00 degrees
Atoms (fractional coordinates):
1 Sb 0.2500 0.8709 0.2835
2 Tm 0.2500 0.6472 0.0052
3 Tm 0.2500 0.3720 0.6522
4 Tm 0.7500 0.1080 0.3632
5 Bi 0.7500 0.6390 0.7246
6 Sb 0.7500 0.1291 0.7165
7 Bi 0.2500 0.3610 0.2754
8 Tm 0.7500 0.6280 0.3478
9 Tm 0.2500 0.8920 0.6368
10 Tm 0.7500 0.3528 0.9948

## Properties
Its symmetry is P2_1/m, No. 11. As for the uncorrected formation energy: -0.63 eV/atom. The density of states at the Fermi level is 5.99 states/eV/cell.

Entry 2:
First-principles (PBE) data for a geometry-optimized Tm8BiSb2 structure, as listed in Alexandria via LeMat-Bulk.

Cell lengths 4.1354, 7.8834, 10.1822 Å; angles 85.24, 101.72, 90.00 degrees
Atoms (fractional coordinates):
1 Tm 0.4018 0.3774 0.8037
2 Tm 0.2034 0.3790 0.4067
3 Tm 0.6634 0.0606 0.3268
4 Tm 0.0403 0.2944 0.0807
5 Tm 0.3366 0.9394 0.6732
6 Sb 0.8049 0.2193 0.6098
7 Tm 0.5982 0.6226 0.1963
8 Tm 0.9597 0.7056 0.9193
9 Sb 0.1951 0.7807 0.3902
10 Bi 0.5000 0.0000 0.0000
11 Tm 0.7966 0.6210 0.5933

## Properties
Its symmetry is C2/m, No. 12. As for the uncorrected formation energy: -0.46 eV/atom. The density of states at the Fermi level is 12.12 states/eV/cell.

Entry 3:
First-principles (PBE) data for a geometry-optimized Tm5Bi5Sb structure, as listed in Alexandria via LeMat-Bulk.

Cell lengths 6.1482, 7.6101, 8.7460 Å; angles 107.21, 90.00, 113.83 degrees
Atoms (fractional coordinates):
1 Bi 0.3391 0.6783 0.6588
2 Tm 0.1662 0.3324 0.3283
3 Sb 0.0000 0.0000 0.0000
4 Bi 0.3457 0.6915 0.1903
5 Bi 0.6609 0.3217 0.3412
6 Tm 0.8338 0.6676 0.6717
7 Tm 0.1694 0.3388 0.8412
8 Tm 0.5000 0.0000 0.0000
9 Bi 0.6543 0.3085 0.8097
10 Bi 0.0000 0.0000 0.5000
11 Tm 0.8306 0.6612 0.1588

## Properties
Its symmetry is C2/m, No. 12. As for the uncorrected formation energy: -0.62 eV/atom. The density of states at the Fermi level is 4.84 states/eV/cell.

Entry 4:
First-principles (PBE) data for a geometry-optimized Tm5BiSb4 structure, as listed in Alexandria via LeMat-Bulk.

Cell lengths 4.3527, 6.1578, 11.5238 Å; angles 105.50, 100.89, 90.00 degrees
Atoms (fractional coordinates):
1 Sb 0.2012 0.2012 0.4024
2 Tm 0.8006 0.3006 0.6012
3 Tm 0.0000 0.5000 0.0000
4 Tm 0.1994 0.6994 0.3988
5 Sb 0.7988 0.7988 0.5976
6 Sb 0.4001 0.4001 0.8002
7 Tm 0.3971 0.8971 0.7943
8 Bi 0.0000 0.0000 0.0000
9 Sb 0.5999 0.5999 0.1998
10 Tm 0.6029 0.1029 0.2057

## Properties
Its symmetry is Immm, No. 71. As for the uncorrected formation energy: -1.01 eV/atom. The density of states at the Fermi level is 1.94 states/eV/cell.

Entry 5:
First-principles (PBE) data for a geometry-optimized Tm8Bi5Sb structure, as listed in Alexandria via LeMat-Bulk.

Cell lengths 8.0127, 8.0127, 8.0127 Å; angles 109.65, 109.12, 109.65 degrees
Atoms (fractional coordinates):
1 Tm 0.4714 0.6004 0.2192
2 Tm 0.9823 0.1074 0.7258
3 Bi 0.7500 0.6286 0.6228
4 Tm 0.6188 0.3996 0.8710
5 Bi 0.5000 0.0000 0.5000
6 Bi 0.9942 0.3714 0.1214
7 Tm 0.6184 0.8926 0.8750
8 Tm 0.1290 0.7478 0.5286
9 Bi 0.3772 0.1273 0.0058
10 Tm 0.2742 0.2565 0.3816
11 Tm 0.1250 0.7435 0.0177
12 Bi 0.8786 0.8727 0.2500
13 Sb 0.2500 0.5000 0.7500
14 Tm 0.7808 0.2522 0.3812

## Properties
Its symmetry is I-4, No. 82. As for the uncorrected formation energy: -0.68 eV/atom. The density of states at the Fermi level is 15.71 states/eV/cell.

Entry 6:
First-principles (PBE) data for a geometry-optimized Tm6Bi3Sb structure, as listed in Alexandria via LeMat-Bulk.

Cell lengths 7.5104, 9.3248, 9.3248 Å; angles 106.54, 90.00, 90.00 degrees
Last column: magnetic moment on the atom in μB.
Atoms (fractional coordinates):
1 Tm 0.1461 0.7291 0.6088  0.14
2 Tm 0.2481 0.4617 0.9235  0.04
3 Tm 0.2555 0.9988 0.0012  0.02
4 Tm 0.1356 0.7526 0.2474  0.16
5 Sb 0.0040 0.1671 0.8329  0.00
6 Tm 0.1461 0.3912 0.2709  0.14
7 Bi 0.9906 0.0902 0.2834  0.00
8 Sb 0.5040 0.8329 0.1671  0.00
9 Tm 0.6356 0.2474 0.7526  0.16
10 Bi 0.4906 0.9098 0.7166  0.00
11 Bi 0.8206 0.5845 0.4155  0.00
12 Tm 0.6461 0.6088 0.7291  0.14
13 Tm 0.7555 0.0012 0.9988  0.02
14 Bi 0.3206 0.4155 0.5845  0.00
15 Tm 0.2481 0.0765 0.5383  0.04
16 Tm 0.6461 0.2709 0.3912  0.14
17 Tm 0.7481 0.5383 0.0765  0.04
18 Bi 0.9906 0.7166 0.9098  0.00
19 Tm 0.7481 0.9235 0.4617  0.04
20 Bi 0.4906 0.2834 0.0902  0.00

## Properties
Its symmetry is Cmc2_1, No. 36. As for the uncorrected formation energy: -0.52 eV/atom. The density of states at the Fermi level is 15.02 states/eV/cell.

Entry 7:
First-principles (PBE) data for a geometry-optimized YTmBiSb structure, as listed in Alexandria via LeMat-Bulk.

Cell lengths 4.4109, 4.4109, 6.2353 Å; angles 90.01, 90.00, 90.00 degrees
Atoms (fractional coordinates):
1 Sb 0.5000 0.3915 0.0925
2 Y 0.5000 0.3915 0.5925
3 Tm 0.0000 0.8915 0.0924
4 Bi 0.0000 0.8916 0.5924

## Properties
Its symmetry is P4/mmm, No. 123. As for the uncorrected formation energy: -0.97 eV/atom. The density of states at the Fermi level is 0.57 states/eV/cell.

Entry 8:
First-principles (PBE) data for a geometry-optimized UBiSb2 structure, as listed in Alexandria via LeMat-Bulk.

Cell lengths 3.3554, 3.3554, 11.7602 Å; angles 81.80, 81.80, 60.00 degrees
Last column: magnetic moment on the atom in μB.
Atoms (fractional coordinates):
1 Bi 0.0000 0.0000 0.0000  -0.02
2 U 0.5000 0.5000 0.5000  2.19
3 Sb 0.9076 0.9076 0.2771  -0.01
4 Sb 0.0924 0.0924 0.7229  -0.01

## Properties
Its symmetry is R-3m, No. 166. As for the uncorrected formation energy: 0.09 eV/atom. The density of states at the Fermi level is 5.39 states/eV/cell.

Entry 9:
First-principles (PBE) data for a geometry-optimized UBiSb2 structure, as listed in Alexandria via LeMat-Bulk.

Cell lengths 4.1306, 5.1429, 5.1429 Å; angles 90.00, 90.00, 90.00 degrees
Last column: magnetic moment on the atom in μB.
Atoms (fractional coordinates):
1 U 0.5000 0.5000 0.5000  2.36
2 Sb 0.0000 0.5000 0.0000  -0.05
3 Sb 0.0000 0.0000 0.5000  -0.05
4 Bi 0.5000 0.0000 0.0000  0.02

## Properties
Its symmetry is P4/mmm, No. 123. As for the uncorrected formation energy: -0.06 eV/atom. The density of states at the Fermi level is 7.45 states/eV/cell.

Entry 10:
First-principles (PBE) data for a geometry-optimized UBi2Sb structure, as listed in Alexandria via LeMat-Bulk.

Cell lengths 3.3567, 3.3567, 12.2861 Å; angles 82.15, 82.15, 60.00 degrees
Last column: magnetic moment on the atom in μB.
Atoms (fractional coordinates):
1 Sb 0.0000 0.0000 0.0000  0.01
2 U 0.5000 0.5000 0.5000  2.37
3 Bi 0.0902 0.0902 0.7294  -0.02
4 Bi 0.9098 0.9098 0.2706  -0.02

## Properties
Its symmetry is R-3m, No. 166. As for the uncorrected formation energy: 0.23 eV/atom. The density of states at the Fermi level is 6.34 states/eV/cell.

Entry 11:
First-principles (PBE) data for a geometry-optimized UBiSb2 structure, as listed in Alexandria via LeMat-Bulk.

Cell lengths 4.4388, 4.4388, 7.9833 Å; angles 73.86, 73.86, 60.00 degrees
Last column: magnetic moment on the atom in μB.
Atoms (fractional coordinates):
1 Bi 0.5011 0.5011 0.4968  0.13
2 Sb 0.0772 0.0772 0.7684  -0.03
3 Sb 0.2550 0.2550 0.2351  -0.04
4 U 0.6668 0.6668 0.9997  2.59

## Properties
Its symmetry is R3m, No. 160. As for the uncorrected formation energy: 0.12 eV/atom. The density of states at the Fermi level is 7.28 states/eV/cell.

Entry 12:
First-principles (PBE) data for a geometry-optimized U3Bi3Sb2 structure, as listed in Alexandria via LeMat-Bulk.

Cell lengths 6.1238, 9.1339, 9.1339 Å; angles 120.00, 90.00, 90.00 degrees
Last column: magnetic moment on the atom in μB.
Atoms (fractional coordinates):
1 Bi 0.7500 0.2365 0.0000  -0.08
2 Sb 0.0000 0.3333 0.6667  -0.06
3 U 0.7500 0.5997 0.0000  2.17
4 Bi 0.2500 0.0000 0.7635  -0.08
5 Sb 0.0000 0.6667 0.3333  -0.06
6 U 0.7500 0.4003 0.4003  2.17
7 U 0.7500 0.0000 0.5997  2.17
8 Bi 0.2500 0.7635 0.0000  -0.08
9 U 0.2500 0.4003 0.0000  2.17
10 U 0.2500 0.5997 0.5997  2.17
11 Bi 0.2500 0.2365 0.2365  -0.08
12 Bi 0.7500 0.0000 0.2365  -0.08
13 U 0.2500 0.0000 0.4003  2.17
14 Sb 0.5000 0.3333 0.6667  -0.06
15 Sb 0.5000 0.6667 0.3333  -0.06
16 Bi 0.7500 0.7635 0.7635  -0.08

## Properties
Its symmetry is P6_3/mcm, No. 193. As for the uncorrected formation energy: -0.12 eV/atom. The density of states at the Fermi level is 34.61 states/eV/cell.